Entry from Alexandria via LeMat-Bulk: a relaxed CsBi2Pd2 crystal (PBE).

a = 9.036 Å, b = 9.036 Å, c = 3.406 Å
α = 90.00°, β = 90.00°, γ = 90.00°
Positions (direct):
Bi 0.641 0.141 0.500
Bi 0.359 0.859 0.500
Bi 0.859 0.641 0.500
Bi 0.141 0.359 0.500
Cs 0.500 0.500 0.000
Cs 0.000 0.000 0.000
Pd 0.382 0.118 0.000
Pd 0.618 0.882 0.000
Pd 0.118 0.618 0.000
Pd 0.882 0.382 0.000

Values from the calculation:
Spin magnetization ... 0.00 μB/f.u.
Theoretical density ... 9.12 Mg/m³
D(E_F) ... 1.65 states/eV/f.u.
DFT formation energy ... -0.15 eV per atom
Electronic total energy ... -3.954 eV per atom